No. 1
# BaTcPd3

A geometry-optimized BaTcPd3 structure (PBE-GGA, Alexandria).

a b c (Å): 5.3115 5.3115 5.3115
angles (deg): 90.00 90.00 90.00
Closest atoms and distances in Å follow each position.
Sites, in units of the cell vectors:
Ba: 0.0000 0.0000 0.0000  6 Pd 2.66
Tc: 0.5000 0.5000 0.5000  12 Pd 3.76
Pd: 0.0000 0.0000 0.5000  2 Ba 2.66
Pd: 0.0000 0.5000 0.0000  2 Ba 2.66
Pd: 0.5000 0.0000 0.0000  2 Ba 2.66

Calculated values
ΔE to the lowest computed polymorph = 1360 meV per atom
DOS at the Fermi energy = 7.08 states/eV per cell
DFT total energy = -19.33 eV for the cell shown
calculated density = 6.15 g/cm³
energy of formation = 1708 meV/atom
SG = Pm-3m, No. 221

---

No. 2
# PmSnTe2

A geometry-optimized PmSnTe2 structure (PBE-GGA, Alexandria).

a b c (Å): 5.9965 6.0392 8.0320
angles (deg): 90.00 111.77 90.00
Closest atoms and distances in Å follow each position.
Sites, in units of the cell vectors:
Pm: 0.1590 0.0000 0.3357  6 Te 3.18-3.29, 2 Sn 3.41-3.54
Pm: 0.8410 0.5000 0.6643  6 Te 3.18-3.29, 2 Sn 3.41-3.54
Sn: 0.2907 0.9152 0.7813  2 Te 2.93-2.96
Sn: 0.7093 0.4152 0.2187  2 Te 2.93-2.96
Te: 0.2148 0.2631 0.0093  2 Sn 2.93-2.96, 2 Pm 3.18-3.19
Te: 0.2651 0.4962 0.5040  4 Pm 3.21-3.29, 2 Sn 3.31-3.34
Te: 0.7349 0.9962 0.4960  4 Pm 3.21-3.29, 2 Sn 3.31-3.34
Te: 0.7852 0.7631 0.9907  2 Sn 2.93-2.96, 2 Pm 3.18-3.19

Calculated values
energy relative to the elements, uncorrected = -0.7917 eV per atom
DOS at the Fermi energy = 4.31 states/eV per cell
DFT total energy = -36.41 eV for the cell shown
calculated density = 6.38 g/cm³
SG = P2_1, No. 4

---

No. 3
# NdScZnHg

A geometry-optimized NdScZnHg structure (PBE-GGA, Alexandria).

a b c (Å): 7.2507 7.2507 7.2507
angles (deg): 90.00 90.00 90.00
Closest atoms and distances in Å follow each position.
Sites, in units of the cell vectors:
Nd: 0.0000 0.0000 0.0000  4 Zn 3.14, 4 Hg 3.14
Nd: 0.0000 0.5000 0.5000  4 Hg 3.14, 4 Zn 3.14
Nd: 0.5000 0.0000 0.5000  4 Hg 3.14, 4 Zn 3.14
Nd: 0.5000 0.5000 0.0000  4 Hg 3.14, 4 Zn 3.14
Sc: 0.0000 0.0000 0.5000  4 Hg 3.14, 4 Zn 3.14
Sc: 0.0000 0.5000 0.0000  4 Hg 3.14, 4 Zn 3.14
Sc: 0.5000 0.0000 0.0000  4 Hg 3.14, 4 Zn 3.14
Sc: 0.5000 0.5000 0.5000  4 Hg 3.14, 4 Zn 3.14
Zn: 0.2500 0.2500 0.7500  4 Nd 3.14, 4 Sc 3.14
Zn: 0.2500 0.7500 0.2500  4 Nd 3.14, 4 Sc 3.14
Zn: 0.7500 0.2500 0.2500  4 Nd 3.14, 4 Sc 3.14
Zn: 0.7500 0.7500 0.7500  4 Nd 3.14, 4 Sc 3.14
Hg: 0.2500 0.2500 0.2500  4 Nd 3.14, 4 Sc 3.14
Hg: 0.2500 0.7500 0.7500  4 Nd 3.14, 4 Sc 3.14
Hg: 0.7500 0.2500 0.7500  4 Nd 3.14, 4 Sc 3.14
Hg: 0.7500 0.7500 0.2500  4 Nd 3.14, 4 Sc 3.14

Calculated values
DOS at the Fermi energy = 16.03 states/eV per cell
DFT total energy = -56.25 eV for the cell shown
calculated density = 7.93 g/cm³
energy of formation = -347 meV/atom
SG = F-43m, No. 216

---

No. 4
# Al2VFe5B2

A geometry-optimized Al2VFe5B2 structure (PBE-GGA, Alexandria).

a b c (Å): 8.5974 8.5974 2.7941
angles (deg): 90.00 90.00 90.00
Closest atoms and distances in Å follow each position.
Sites, in units of the cell vectors:
Al: 0.1761 0.3239 0.0000  3 B 2.45-2.61, 10 Fe 2.56-2.70
Al: 0.3239 0.8239 0.0000  3 B 2.45-2.61, 10 Fe 2.56-2.70
Al: 0.6761 0.1761 0.0000  3 B 2.45-2.61, 10 Fe 2.56-2.70
Al: 0.8239 0.6761 0.0000  3 B 2.45-2.61, 10 Fe 2.56-2.70
V: 0.0000 0.0000 0.0000  8 Fe 2.39
V: 0.5000 0.5000 0.0000  8 Fe 2.39
Fe: 0.0000 0.5000 0.5000  4 B 2.04
Fe: 0.0693 0.7859 0.5000  2 B 2.03
Fe: 0.2141 0.0693 0.5000  2 B 2.03
Fe: 0.2859 0.5693 0.5000  2 B 2.03
Fe: 0.4307 0.2859 0.5000  2 B 2.03
Fe: 0.5000 0.0000 0.5000  4 B 2.04
Fe: 0.5693 0.7141 0.5000  2 B 2.03
Fe: 0.7141 0.4307 0.5000  2 B 2.03
Fe: 0.7859 0.9307 0.5000  2 B 2.03
Fe: 0.9307 0.2141 0.5000  2 B 2.03
B: 0.1225 0.6225 0.0000  6 Fe 2.03-2.04
B: 0.3775 0.1225 0.0000  6 Fe 2.03-2.04
B: 0.6225 0.8775 0.0000  6 Fe 2.03-2.04
B: 0.8775 0.3775 0.0000  6 Fe 2.03-2.04

Calculated values
DOS at the Fermi energy = 17.06 states/eV per cell
DFT total energy = -150.25 eV for the cell shown
calculated density = 6.52 g/cm³
energy of formation = -285 meV/atom
SG = P4/mbm, No. 127

---

No. 5
# Ba2ZrRu

A geometry-optimized Ba2ZrRu structure (PBE-GGA, Alexandria).

a b c (Å): 5.4435 5.4435 7.5761
angles (deg): 90.00 90.00 90.00
Closest atoms and distances in Å follow each position.
Sites, in units of the cell vectors:
Ba: 0.0000 0.0000 0.0000  4 Ba 3.32, 4 Ru 3.32
Ba: 0.0000 0.5000 0.2500  4 Zr 3.32, 4 Ba 3.32
Ba: 0.5000 0.0000 0.7500  4 Ba 3.32, 4 Zr 3.32
Ba: 0.5000 0.5000 0.5000  4 Ba 3.32, 4 Ru 3.32
Zr: 0.0000 0.0000 0.5000  4 Ba 3.32, 4 Ru 3.32
Zr: 0.5000 0.5000 0.0000  4 Ba 3.32, 4 Ru 3.32
Ru: 0.0000 0.5000 0.7500  4 Ba 3.32, 4 Zr 3.32
Ru: 0.5000 0.0000 0.2500  4 Zr 3.32, 4 Ba 3.32

Calculated values
ΔE to the lowest computed polymorph = 700 meV per atom
DOS at the Fermi energy = 12.61 states/eV per cell
DFT total energy = -36.92 eV for the cell shown
calculated density = 6.91 g/cm³
energy of formation = 802 meV/atom
SG = I-4m2, No. 119

---

No. 6
# Dy2Ga4Cu3Pd

A geometry-optimized Dy2Ga4Cu3Pd structure (PBE-GGA, Alexandria).

a b c (Å): 4.1293 4.1293 10.3068
angles (deg): 90.00 90.00 90.00
Closest atoms and distances in Å follow each position.
Sites, in units of the cell vectors:
Dy: 0.0000 0.5000 0.2467  6 Cu 3.14-3.33, 8 Ga 3.16-3.28, 2 Pd 3.33
Dy: 0.5000 0.0000 0.7533  6 Cu 3.14-3.33, 8 Ga 3.16-3.28, 2 Pd 3.33
Ga: 0.0000 0.0000 0.0000  4 Cu 2.48
Ga: 0.0000 0.5000 0.6363  3 Cu 2.37-2.50, 2 Pd 2.50
Ga: 0.5000 0.0000 0.3637  3 Cu 2.37-2.50, 2 Pd 2.50
Ga: 0.5000 0.5000 0.0000  4 Cu 2.48
Cu: 0.0000 0.5000 0.8666  5 Ga 2.37-2.48
Cu: 0.5000 0.0000 0.1334  5 Ga 2.37-2.48
Cu: 0.5000 0.5000 0.5000  4 Ga 2.50
Pd: 0.0000 0.0000 0.5000  4 Ga 2.50

Calculated values
DOS at the Fermi energy = 5.74 states/eV per cell
DFT total energy = -43.96 eV for the cell shown
calculated density = 8.51 g/cm³
energy of formation = -516 meV/atom
SG = P-4m2, No. 115